Entry 1:
Compound: Mg2TlH
Source: the Alexandria database
Functional: PBE
Structure: relaxed

a b c (Å): 5.706 5.706 9.894
angles (deg): 90.00 90.00 90.00
Space group I-42d (No. 122)
Inequivalent atoms, fractional coordinates:
Mg1 0.089 0.750 0.125 [8 per cell]
Tl1 0.000 0.000 0.500 [4 per cell]
H1 0.000 0.000 0.000 [4 per cell]

* ΔE to the lowest computed polymorph: 0.015 eV per atom
* VASP energy: -8.494 eV/f.u.
* total magnetic moment: 0.00 Bohr magnetons per cell


Entry 2:
Compound: Mg2TlH
Source: the Alexandria database
Functional: PBE
Structure: relaxed

a b c (Å): 3.4571 3.4571 21.3776
angles (deg): 90.00 90.00 120.00
Space group R3m (No. 160, hexagonal axes)
Inequivalent atoms, fractional coordinates:
Mg1 0.0000 0.0000 0.0000 [3 per cell]
Mg2 0.0000 0.0000 0.2213 [3 per cell]
Tl1 0.0000 0.0000 0.7772 [3 per cell]
H1 0.0000 0.0000 0.6012 [3 per cell]

* ΔE to the lowest computed polymorph: 0.000 eV per atom
* VASP energy: -8.554 eV/f.u.
* total magnetic moment: 0.00 Bohr magnetons per cell


Entry 3:
Compound: Mg2TlH
Source: the Alexandria database
Functional: PBE
Structure: relaxed

a b c (Å): 6.794 6.794 6.794
angles (deg): 90.00 90.00 90.00
Space group Fm-3m (No. 225)
Inequivalent atoms, fractional coordinates:
Mg1 0.250 0.250 0.250 [8 per cell]
Tl1 0.000 0.000 0.000 [4 per cell]
H1 0.000 0.000 0.500 [4 per cell]

* ΔE to the lowest computed polymorph: 0.273 eV per atom
* VASP energy: -7.460 eV/f.u.
* total magnetic moment: 0.00 Bohr magnetons per cell


Entry 4:
Compound: Mg2TlH
Source: the Alexandria database
Functional: PBE
Structure: relaxed

a b c (Å): 3.176 3.176 7.459
angles (deg): 90.00 90.00 90.00
Space group P4/mmm (No. 123)
Inequivalent atoms, fractional coordinates:
Mg1 0.000 0.000 0.191 [2 per cell]
Tl1 0.500 0.500 0.500 [1 per cell]
H1 0.500 0.500 0.000 [1 per cell]

* ΔE to the lowest computed polymorph: 0.167 eV per atom
* VASP energy: -7.887 eV/f.u.
* total magnetic moment: 0.00 Bohr magnetons per cell


Entry 5:
Compound: MgTlH3
Source: the Alexandria database
Functional: PBE
Structure: relaxed

a b c (Å): 4.188 4.188 4.188
angles (deg): 90.00 90.00 90.00
Space group Pm-3m (No. 221)
Inequivalent atoms, fractional coordinates:
Mg1 0.000 0.000 0.000 [1 per cell]
Tl1 0.500 0.500 0.500 [1 per cell]
H1 0.000 0.500 0.500 [3 per cell]

* ΔE to the lowest computed polymorph: 0.539 eV per atom
* VASP energy: -10.986 eV/f.u.
* total magnetic moment: 0.00 Bohr magnetons per cell


Entry 6:
Compound: Mg8Tl4H
Source: the Alexandria database
Functional: PBE
Structure: relaxed

a b c (Å): 4.403 4.591 14.219
angles (deg): 90.00 90.00 90.00
Space group Pmm2 (No. 25)
Inequivalent atoms, fractional coordinates:
Mg1 0.000 0.000 0.000 [1 per cell]
Mg2 0.000 0.000 0.325 [1 per cell]
Mg3 0.000 0.500 0.167 [1 per cell]
Mg4 0.000 0.500 0.498 [1 per cell]
Mg5 0.500 0.000 0.499 [1 per cell]
Mg6 0.500 0.000 0.834 [1 per cell]
Mg7 0.500 0.500 0.665 [1 per cell]
Mg8 0.500 0.500 0.999 [1 per cell]
Tl1 0.000 0.000 0.665 [1 per cell]
Tl2 0.000 0.500 0.844 [1 per cell]
Tl3 0.500 0.000 0.156 [1 per cell]
Tl4 0.500 0.500 0.340 [1 per cell]
H1 0.000 0.000 0.462 [1 per cell]

* VASP energy: -25.614 eV/f.u.
* total magnetic moment: 0.00 Bohr magnetons per cell


Entry 7:
Compound: MgTlH3
Source: the Alexandria database
Functional: PBE
Structure: relaxed

a b c (Å): 4.043 4.043 4.043
angles (deg): 90.00 90.00 90.00
Space group Pm-3m (No. 221)
Inequivalent atoms, fractional coordinates:
Mg1 0.000 0.000 0.000 [1 per cell]
Tl1 0.500 0.500 0.500 [1 per cell]
H1 0.000 0.000 0.500 [3 per cell]

* ΔE to the lowest computed polymorph: 0.000 eV per atom
* VASP energy: -13.679 eV/f.u.
* total magnetic moment: 0.00 Bohr magnetons per cell


Entry 8:
Compound: Mg2TlHW
Source: the Alexandria database
Functional: PBE
Structure: relaxed

a b c (Å): 4.123 4.123 4.707
angles (deg): 90.00 90.00 90.00
Space group P4/mmm (No. 123)
Inequivalent atoms, fractional coordinates:
Mg1 0.000 0.500 0.000 [2 per cell]
Tl1 0.000 0.000 0.500 [1 per cell]
H1 0.000 0.000 0.000 [1 per cell]
W1 0.500 0.500 0.500 [1 per cell]

* VASP energy: -19.015 eV/f.u.
* total magnetic moment: 0.00 Bohr magnetons per cell


Which of these has the lowest VASP energy? Mg8Tl4H